No. 1
14
Lattice="5.095 0.000 0.000 0.000 5.095 0.000 0.000 0.000 11.536" Properties=species:S:1:pos:R:3 comment="GGA-PBE Y2HoCu4, relaxed" mass_density_g_cm3=6.62 total_magnetization_mub_per_fu=0.00 formation_energy_ev_per_atom=-0.01 pbc="T T T"
Y 0.000 0.000 2.442
Y 0.000 0.000 9.093
Y 2.548 2.548 3.326
Y 2.548 2.548 8.210
Ho 0.000 0.000 5.768
Ho 2.548 2.548 0.000
Cu 0.000 2.548 1.318
Cu 0.000 2.548 4.450
Cu 0.000 2.548 7.086
Cu 0.000 2.548 10.218
Cu 2.548 0.000 1.318
Cu 2.548 0.000 4.450
Cu 2.548 0.000 7.086
Cu 2.548 0.000 10.218



No. 2
5
Lattice="6.102 0.000 0.000 0.000 6.102 0.000 0.000 0.000 4.718" Properties=species:S:1:pos:R:3 comment="GGA-PBE K2BeCrPb, relaxed" mass_density_g_cm3=3.27 total_magnetization_mub_per_fu=4.54 formation_energy_ev_per_atom=0.88 pbc="T T T"
K 0.000 3.051 0.000
K 3.051 0.000 0.000
Be 0.000 0.000 0.000
Cr 0.000 0.000 2.359
Pb 3.051 3.051 2.359



No. 3
16
Lattice="6.933 0.000 0.000 0.000 6.933 0.000 0.000 0.000 5.185" Properties=species:S:1:pos:R:3 comment="GGA-PBE Ni2TeIr, relaxed" mass_density_g_cm3=11.65 total_magnetization_mub_per_fu=0.00 polymorph_energy_mev_per_atom=168 e_form_raw_ev_per_atom=0.331 pbc="T T T"
Ni 1.707 5.200 0.648
Ni 1.733 1.707 4.537
Ni 1.733 1.760 1.944
Ni 1.760 5.200 3.241
Ni 5.174 1.733 3.241
Ni 5.200 5.174 1.944
Ni 5.200 5.227 4.537
Ni 5.227 1.733 0.648
Te 0.000 0.000 0.000
Te 0.000 3.467 1.296
Te 3.467 0.000 3.889
Te 3.467 3.467 2.592
Ir 0.000 0.000 2.592
Ir 0.000 3.467 3.889
Ir 3.467 0.000 1.296
Ir 3.467 3.467 0.000